[1]
Ta2AgTe, optimized geometry, DFT PBE; uncorrected formation energy = 237 meV/atom; size of the total moment = 0.0 Bohr magnetons per cell
1.0
1.6537 0.9548 9.2103
-1.6537 0.9548 9.2103
0.0000 -1.9095 9.2103
Ta Ag Te
2 1 1
Cartesian
0.0000 0.0000 0.0000 Ta
0.0000 0.0000 7.1902 Ta
0.0000 0.0000 14.2104 Ag
0.0000 0.0000 20.5126 Te


[2]
Ta2AgTe, optimized geometry, DFT PBE; uncorrected formation energy = 399 meV/atom; size of the total moment = 0.0 Bohr magnetons per cell
1.0
-1.7458 2.3771 4.6417
1.7458 -2.3771 4.6417
1.7458 2.3771 -4.6417
Ta Ag Te
2 1 1
Cartesian
0.0000 0.0000 2.2479 Ta
0.0000 0.0000 7.0355 Ta
0.0000 2.3771 0.0000 Ag
1.7458 0.0000 0.0000 Te


[3]
TaAg2Te, optimized geometry, DFT PBE; uncorrected formation energy = 478 meV/atom; size of the total moment = 0.0 Bohr magnetons per cell
1.0
4.0771 0.0000 0.0000
0.0000 4.0771 0.0000
0.0000 0.0000 4.7386
Ta Ag Te
1 2 1
Cartesian
0.0000 0.0000 0.0000 Ta
0.0000 2.0386 2.3693 Ag
2.0386 0.0000 2.3693 Ag
2.0386 2.0386 0.0000 Te


[4]
Ta2AgTe, optimized geometry, DFT PBE; uncorrected formation energy = 381 meV/atom; size of the total moment = 0.0 Bohr magnetons per cell
1.0
3.2781 0.0000 0.0000
-0.0285 4.9980 0.0000
-1.6292 -1.4194 4.7610
Ta Ag Te
2 1 1
Cartesian
0.0000 0.0000 0.0000 Ta
-0.0275 2.8782 2.5436 Ta
1.6371 0.2804 2.3896 Ag
1.6121 2.5113 0.1806 Te


[5]
TaTiAg2Te, optimized geometry, DFT PBE; uncorrected formation energy = 1319 meV/atom; size of the total moment = 0.8 Bohr magnetons per cell
1.0
4.8918 0.0000 0.0000
0.0000 4.8918 0.0000
0.0000 0.0000 4.9907
Ta Ti Ag Te
1 1 2 1
Cartesian
0.0000 0.0000 0.0000 Ta
2.4459 2.4459 2.4953 Ti
0.0000 2.4459 2.4953 Ag
2.4459 0.0000 2.4953 Ag
2.4459 2.4459 0.0000 Te


[6]
Ta2Tl2AgTe6, optimized geometry, DFT PBE; uncorrected formation energy = -177 meV/atom; size of the total moment = 0.9 Bohr magnetons per cell
1.0
3.4413 -6.3186 0.0000
3.4413 6.3186 0.0000
-2.4899 0.0000 8.1634
Ta Tl Ag Te
2 2 1 6
Cartesian
3.4413 3.9643 0.0000 Ta
3.4413 -3.9643 0.0000 Ta
2.1963 1.7873 4.0817 Tl
2.1963 -1.7873 4.0817 Tl
3.4413 0.0000 0.0000 Ag
-0.2887 2.2627 6.3988 Te
1.0091 0.0000 1.4007 Te
-0.2887 -2.2627 6.3988 Te
4.6814 2.2627 1.7646 Te
3.3835 0.0000 6.7627 Te
4.6814 -2.2627 1.7646 Te


[7]
TaTi2Ag, optimized geometry, DFT PBE; ΔE to the lowest computed polymorph = 612.8 meV/atom; size of the total moment = 0.0 Bohr magnetons per cell
1.0
-1.9747 1.9747 9.5356
1.9747 -1.9747 9.5356
1.9747 1.9747 -9.5356
Ta Ti Ag
2 4 2
Cartesian
0.0000 0.0000 0.0000 Ta
0.0000 1.9747 4.7678 Ta
2.9620 0.9462 -2.3839 Ti
0.9462 0.9873 2.3839 Ti
-0.9873 1.0285 7.1517 Ti
1.0285 0.9873 11.9195 Ti
1.9747 0.0000 4.7678 Ag
0.0000 0.0000 9.5356 Ag


[8]
TaTi2Ag, optimized geometry, DFT PBE; ΔE to the lowest computed polymorph = 133.7 meV/atom; size of the total moment = 0.0 Bohr magnetons per cell
1.0
0.0000 3.2446 3.2446
3.2446 0.0000 3.2446
3.2446 3.2446 0.0000
Ta Ti Ag
1 2 1
Cartesian
0.0000 0.0000 0.0000 Ta
1.6223 1.6223 1.6223 Ti
4.8669 4.8669 4.8669 Ti
3.2446 3.2446 3.2446 Ag


[9]
TaTi2Ag, optimized geometry, DFT PBE; ΔE to the lowest computed polymorph = 4.5 meV/atom; size of the total moment = 0.0 Bohr magnetons per cell
1.0
1.8332 -2.2075 0.0000
1.8332 2.2075 0.0000
0.0000 0.0000 8.6691
Ta Ti Ag
1 2 1
Cartesian
0.0000 0.0000 0.0000 Ta
1.8332 0.0000 2.1337 Ti
1.8332 0.0000 6.5353 Ti
0.0000 0.0000 4.3345 Ag


[10]
TaTi3Ag, optimized geometry, DFT PBE; ΔE to the lowest computed polymorph = 286.2 meV/atom; size of the total moment = 2.3 Bohr magnetons per cell
1.0
4.7638 0.0000 0.0000
0.0000 4.7638 0.0000
0.0000 0.0000 4.7638
Ta Ti Ag
1 3 1
Cartesian
0.0000 0.0000 0.0000 Ta
0.0000 2.3819 2.3819 Ti
2.3819 0.0000 2.3819 Ti
2.3819 2.3819 0.0000 Ti
2.3819 2.3819 2.3819 Ag


[11]
TaTi3Ag, optimized geometry, DFT PBE; ΔE to the lowest computed polymorph = 0.0 meV/atom; size of the total moment = 0.0 Bohr magnetons per cell
1.0
4.8181 0.0000 0.0000
0.0000 4.8181 0.0000
0.0000 0.0000 4.8181
Ta Ti Ag
1 3 1
Cartesian
0.0000 0.0000 0.0000 Ta
0.0000 0.0000 2.4090 Ti
0.0000 2.4090 0.0000 Ti
2.4090 0.0000 0.0000 Ti
2.4090 2.4090 2.4090 Ag


[12]
TaTi2Ag, optimized geometry, DFT PBE; ΔE to the lowest computed polymorph = 0.0 meV/atom; size of the total moment = 0.0 Bohr magnetons per cell
1.0
3.2359 0.0000 0.0000
0.0000 3.2359 0.0000
0.0000 0.0000 6.6883
Ta Ti Ag
1 2 1
Cartesian
0.0000 0.0000 0.0000 Ta
1.6180 1.6180 1.5829 Ti
1.6180 1.6180 5.1054 Ti
0.0000 0.0000 3.3442 Ag


Number 3 is which compound? TaAg2Te